Density functional theory data (PBE) for a relaxed structure of Tm3SnAs2Rh9.

Unit cell a=6.2587 b=6.2587 c=9.2789 alpha=90.00 beta=90.00 gamma=120.00
Space group P-3m1 (No. 164)
Unique sites:
Tm1 0.0000 0.0000 0.0000
Tm2 0.3333 0.6667 0.7528
Sn1 0.0000 0.0000 0.5000
As1 0.3333 0.6667 0.1704
Rh1 0.0000 0.5000 0.0000
Rh2 0.1404 0.2808 0.2639

Output
Size of the total moment: 0.0 μB per formula unit
Crystal system: trigonal
Energy relative to the elements: -444 meV per atom
Total DFT energy (no corrections): -6.636 eV per atom
Fermi-level density of states: 4.9 states/eV/cell